# PBE NaIn3Pb4, relaxed
data_NaIn3Pb4
_chemical_formula_sum 'Na4 In12 Pb16'
_cell_length_a 8.9261
_cell_length_b 8.9558
_cell_length_c 12.6491
_cell_angle_alpha 90.00
_cell_angle_beta 90.00
_cell_angle_gamma 90.00
_space_group_name_H-M_alt 'F m m m'
_space_group_IT_number 69
_space_group_name_Hall '-F 2 2'
loop_
_atom_site_label
_atom_site_type_symbol
_atom_site_fract_x
_atom_site_fract_y
_atom_site_fract_z
Na1 Na 0.0000 0.0000 0.0000
In1 In 0.0000 0.0000 0.5000
In2 In 0.2500 0.2500 0.2500
Pb1 Pb 0.0000 0.0000 0.2585
Pb2 Pb 0.2500 0.2500 0.0000
# - energy of formation (kJ/mol of formula units) = 118
# - final energy (eV per cell) = -92.59
# - size of the total moment (μB/cell) = 0.000
# - volume (Å³/atom) = 31.6